# 1
# YBi2Pd, optimized geometry, DFT PBE
# VASP energy ... -0.378 Ry per atom
# ΔE_f ... -0.292 eV per atom
# Spin magnetization ... 0.00 μB/atom
# SG ... I-42d (122)
data_YBi2Pd
_cell_length_a 4.6724
_cell_length_b 4.6724
_cell_length_c 10.8300
_cell_angle_alpha 77.54
_cell_angle_beta 77.54
_cell_angle_gamma 90.00
_space_group_name_H-M_alt 'P 1'
_space_group_IT_number 1
loop_
_space_group_symop_operation_xyz
'x,y,z'
loop_
_atom_site_label
_atom_site_type_symbol
_atom_site_fract_x
_atom_site_fract_y
_atom_site_fract_z
_atom_site_occupancy
Pd1 Pd 0.0000 0.0000 0.0000 1
Pd2 Pd 0.7500 0.2500 0.5000 1
Y1 Y 0.5000 0.5000 0.0000 1
Y2 Y 0.2500 0.7500 0.5000 1
Bi1 Bi 0.8750 0.8959 0.7500 1
Bi2 Bi 0.3750 0.3541 0.7500 1
Bi3 Bi 0.6459 0.1250 0.2500 1
Bi4 Bi 0.1041 0.6250 0.2500 1

***

# 2
# YBiPd4, optimized geometry, DFT PBE
# VASP energy ... -0.420 Ry per atom
# ΔE_f ... -0.532 eV per atom
# Spin magnetization ... 0.00 μB/atom
# SG ... F-43m (216)
data_YBiPd4
_cell_length_a 5.4519
_cell_length_b 5.4519
_cell_length_c 5.4519
_cell_angle_alpha 60.00
_cell_angle_beta 60.00
_cell_angle_gamma 60.00
_space_group_name_H-M_alt 'P 1'
_space_group_IT_number 1
loop_
_space_group_symop_operation_xyz
'x,y,z'
loop_
_atom_site_label
_atom_site_type_symbol
_atom_site_fract_x
_atom_site_fract_y
_atom_site_fract_z
_atom_site_occupancy
Pd1 Pd 0.6255 0.6255 0.1236 1
Pd2 Pd 0.1236 0.6255 0.6255 1
Pd3 Pd 0.6255 0.6255 0.6255 1
Pd4 Pd 0.6255 0.1236 0.6255 1
Bi1 Bi 0.2500 0.2500 0.2500 1
Y1 Y 0.0000 0.0000 0.0000 1

***

# 3
# YBiPd6, optimized geometry, DFT PBE
# VASP energy ... -0.402 Ry per atom
# ΔE_f ... -0.279 eV per atom
# Spin magnetization ... 0.00 μB/atom
# SG ... C2/m (12)
data_YBiPd6
_cell_length_a 5.0237
_cell_length_b 5.0237
_cell_length_c 7.3626
_cell_angle_alpha 74.31
_cell_angle_beta 74.31
_cell_angle_gamma 66.50
_space_group_name_H-M_alt 'P 1'
_space_group_IT_number 1
loop_
_space_group_symop_operation_xyz
'x,y,z'
loop_
_atom_site_label
_atom_site_type_symbol
_atom_site_fract_x
_atom_site_fract_y
_atom_site_fract_z
_atom_site_occupancy
Y1 Y 0.5000 0.5000 0.5000 1
Pd1 Pd 0.0593 0.5397 0.3015 1
Pd2 Pd 0.9407 0.4603 0.6985 1
Pd3 Pd 0.3522 0.3522 0.9432 1
Pd4 Pd 0.6478 0.6478 0.0568 1
Pd5 Pd 0.5397 0.0593 0.3015 1
Pd6 Pd 0.4603 0.9407 0.6985 1
Bi1 Bi 0.0000 0.0000 0.0000 1

***

# 4
# Y2Bi2Pd, optimized geometry, DFT PBE
# VASP energy ... -0.414 Ry per atom
# ΔE_f ... -0.454 eV per atom
# Spin magnetization ... 0.00 μB/atom
# SG ... P4/mbm (127)
data_Y2Bi2Pd
_cell_length_a 7.6575
_cell_length_b 7.6575
_cell_length_c 4.8297
_cell_angle_alpha 90.00
_cell_angle_beta 90.00
_cell_angle_gamma 90.00
_space_group_name_H-M_alt 'P 1'
_space_group_IT_number 1
loop_
_space_group_symop_operation_xyz
'x,y,z'
loop_
_atom_site_label
_atom_site_type_symbol
_atom_site_fract_x
_atom_site_fract_y
_atom_site_fract_z
_atom_site_occupancy
Y1 Y 0.3293 0.8293 0.0000 1
Y2 Y 0.1707 0.3293 0.0000 1
Y3 Y 0.8293 0.6707 0.0000 1
Y4 Y 0.6707 0.1707 0.0000 1
Bi1 Bi 0.3556 0.1444 0.5000 1
Bi2 Bi 0.8556 0.3556 0.5000 1
Bi3 Bi 0.1444 0.6444 0.5000 1
Bi4 Bi 0.6444 0.8556 0.5000 1
Pd1 Pd 0.0000 0.0000 0.0000 1
Pd2 Pd 0.5000 0.5000 0.0000 1

***

# 5
# YBiPd2, optimized geometry, DFT PBE
# VASP energy ... -0.409 Ry per atom
# ΔE_f ... -0.386 eV per atom
# Spin magnetization ... 0.00 μB/atom
# SG ... I-42d (122)
data_YBiPd2
_cell_length_a 4.4881
_cell_length_b 4.4881
_cell_length_c 9.9089
_cell_angle_alpha 76.91
_cell_angle_beta 76.91
_cell_angle_gamma 90.00
_space_group_name_H-M_alt 'P 1'
_space_group_IT_number 1
loop_
_space_group_symop_operation_xyz
'x,y,z'
loop_
_atom_site_label
_atom_site_type_symbol
_atom_site_fract_x
_atom_site_fract_y
_atom_site_fract_z
_atom_site_occupancy
Pd1 Pd 0.1068 0.6250 0.2500 1
Pd2 Pd 0.3750 0.3568 0.7500 1
Pd3 Pd 0.8750 0.8932 0.7500 1
Pd4 Pd 0.6432 0.1250 0.2500 1
Y1 Y 0.2500 0.7500 0.5000 1
Y2 Y 0.5000 0.5000 0.0000 1
Bi1 Bi 0.0000 0.0000 0.0000 1
Bi2 Bi 0.7500 0.2500 0.5000 1

***

# 6
# YBi2Pd, optimized geometry, DFT PBE
# VASP energy ... -0.394 Ry per atom
# ΔE_f ... -0.501 eV per atom
# Spin magnetization ... 0.00 μB/atom
# SG ... P4/mmm (123)
data_YBi2Pd
_cell_length_a 4.1922
_cell_length_b 4.8834
_cell_length_c 4.8834
_cell_angle_alpha 90.00
_cell_angle_beta 90.00
_cell_angle_gamma 90.00
_space_group_name_H-M_alt 'P 1'
_space_group_IT_number 1
loop_
_space_group_symop_operation_xyz
'x,y,z'
loop_
_atom_site_label
_atom_site_type_symbol
_atom_site_fract_x
_atom_site_fract_y
_atom_site_fract_z
_atom_site_occupancy
Pd1 Pd 0.5000 0.5000 0.5000 1
Bi1 Bi 0.0000 0.5000 0.0000 1
Bi2 Bi 0.0000 0.0000 0.5000 1
Y1 Y 0.5000 0.0000 0.0000 1

***

# 7
# YBiPd2, optimized geometry, DFT PBE
# VASP energy ... -0.435 Ry per atom
# ΔE_f ... -0.742 eV per atom
# Spin magnetization ... 0.00 μB/atom
# SG ... Pmmn (59)
data_YBiPd2
_cell_length_a 5.0237
_cell_length_b 5.0998
_cell_length_c 6.5470
_cell_angle_alpha 90.00
_cell_angle_beta 90.00
_cell_angle_gamma 90.00
_space_group_name_H-M_alt 'P 1'
_space_group_IT_number 1
loop_
_space_group_symop_operation_xyz
'x,y,z'
loop_
_atom_site_label
_atom_site_type_symbol
_atom_site_fract_x
_atom_site_fract_y
_atom_site_fract_z
_atom_site_occupancy
Y1 Y 0.0000 0.2826 0.0000 1
Y2 Y 0.5000 0.7174 0.5000 1
Pd1 Pd 0.0000 0.8043 0.7525 1
Pd2 Pd 0.5000 0.1957 0.7475 1
Pd3 Pd 0.0000 0.8043 0.2475 1
Pd4 Pd 0.5000 0.1957 0.2525 1
Bi1 Bi 0.0000 0.2785 0.5000 1
Bi2 Bi 0.5000 0.7215 0.0000 1

***

# 8
# YBi2Pd, optimized geometry, DFT PBE
# VASP energy ... -0.381 Ry per atom
# ΔE_f ... -0.322 eV per atom
# Spin magnetization ... 0.00 μB/atom
# SG ... Fm-3m (225)
data_YBi2Pd
_cell_length_a 5.2425
_cell_length_b 5.2425
_cell_length_c 5.2425
_cell_angle_alpha 60.00
_cell_angle_beta 60.00
_cell_angle_gamma 60.00
_space_group_name_H-M_alt 'P 1'
_space_group_IT_number 1
loop_
_space_group_symop_operation_xyz
'x,y,z'
loop_
_atom_site_label
_atom_site_type_symbol
_atom_site_fract_x
_atom_site_fract_y
_atom_site_fract_z
_atom_site_occupancy
Bi1 Bi 0.7500 0.7500 0.7500 1
Bi2 Bi 0.2500 0.2500 0.2500 1
Pd1 Pd 0.5000 0.5000 0.5000 1
Y1 Y 0.0000 0.0000 0.0000 1

***

# 9
# YBiPd14, optimized geometry, DFT PBE
# VASP energy ... -0.400 Ry per atom
# ΔE_f ... -0.258 eV per atom
# Spin magnetization ... 0.00 μB/atom
# SG ... P4/mmm (123)
data_YBiPd14
_cell_length_a 5.7596
_cell_length_b 5.7596
_cell_length_c 7.9632
_cell_angle_alpha 90.00
_cell_angle_beta 90.00
_cell_angle_gamma 90.00
_space_group_name_H-M_alt 'P 1'
_space_group_IT_number 1
loop_
_space_group_symop_operation_xyz
'x,y,z'
loop_
_atom_site_label
_atom_site_type_symbol
_atom_site_fract_x
_atom_site_fract_y
_atom_site_fract_z
_atom_site_occupancy
Pd1 Pd 0.8750 0.3750 0.0000 1
Pd2 Pd 0.8750 0.3750 0.5000 1
Pd3 Pd 0.1251 0.6249 0.2415 1
Pd4 Pd 0.1251 0.1251 0.7585 1
Pd5 Pd 0.8750 0.8750 0.0000 1
Pd6 Pd 0.6249 0.1251 0.2415 1
Pd7 Pd 0.3750 0.8750 0.0000 1
Pd8 Pd 0.3750 0.8750 0.5000 1
Pd9 Pd 0.6249 0.6249 0.2415 1
Pd10 Pd 0.1251 0.6249 0.7585 1
Pd11 Pd 0.6249 0.6249 0.7585 1
Pd12 Pd 0.6249 0.1251 0.7585 1
Pd13 Pd 0.1251 0.1251 0.2415 1
Pd14 Pd 0.3750 0.3750 0.0000 1
Bi1 Bi 0.8750 0.8750 0.5000 1
Y1 Y 0.3750 0.3750 0.5000 1

***

# 10
# Y6BiPd2, optimized geometry, DFT PBE
# VASP energy ... -0.476 Ry per atom
# ΔE_f ... -0.578 eV per atom
# Spin magnetization ... 0.00 μB/atom
# SG ... Immm (71)
data_Y6BiPd2
_cell_length_a 8.6881
_cell_length_b 8.6881
_cell_length_c 8.6881
_cell_angle_alpha 104.87
_cell_angle_beta 114.01
_cell_angle_gamma 109.67
_space_group_name_H-M_alt 'P 1'
_space_group_IT_number 1
loop_
_space_group_symop_operation_xyz
'x,y,z'
loop_
_atom_site_label
_atom_site_type_symbol
_atom_site_fract_x
_atom_site_fract_y
_atom_site_fract_z
_atom_site_occupancy
Y1 Y 0.4750 0.1827 0.2923 1
Y2 Y 0.6941 0.3275 0.0216 1
Y3 Y 0.1096 0.8173 0.2923 1
Y4 Y 0.6941 0.6725 0.3666 1
Y5 Y 0.2036 0.4364 0.2328 1
Y6 Y 0.5250 0.8173 0.7077 1
Y7 Y 0.3059 0.3275 0.6334 1
Y8 Y 0.7964 0.5636 0.7672 1
Y9 Y 0.7964 0.0291 0.2328 1
Y10 Y 0.2036 0.9709 0.7672 1
Y11 Y 0.3059 0.6725 0.9784 1
Y12 Y 0.8904 0.1827 0.7077 1
Bi1 Bi 0.0000 0.0000 0.0000 1
Bi2 Bi 0.0000 0.5000 0.5000 1
Pd1 Pd 0.6536 0.6536 0.0000 1
Pd2 Pd 0.5000 0.8689 0.3689 1
Pd3 Pd 0.5000 0.1311 0.6311 1
Pd4 Pd 0.3464 0.3464 0.0000 1

***

# 11
# YBiPd2, optimized geometry, DFT PBE
# VASP energy ... -0.428 Ry per atom
# ΔE_f ... -0.643 eV per atom
# Spin magnetization ... 0.00 μB/atom
# SG ... P4/mmm (123)
data_YBiPd2
_cell_length_a 3.6597
_cell_length_b 3.6597
_cell_length_c 6.4749
_cell_angle_alpha 90.00
_cell_angle_beta 90.00
_cell_angle_gamma 90.00
_space_group_name_H-M_alt 'P 1'
_space_group_IT_number 1
loop_
_space_group_symop_operation_xyz
'x,y,z'
loop_
_atom_site_label
_atom_site_type_symbol
_atom_site_fract_x
_atom_site_fract_y
_atom_site_fract_z
_atom_site_occupancy
Y1 Y 0.5000 0.5000 0.0000 1
Pd1 Pd 0.0000 0.0000 0.2315 1
Pd2 Pd 0.0000 0.0000 0.7685 1
Bi1 Bi 0.5000 0.5000 0.5000 1

***

# 12
# YBi3Pd, optimized geometry, DFT PBE
# VASP energy ... -0.295 Ry per atom
# ΔE_f ... 0.650 eV per atom
# Spin magnetization ... 0.00 μB/atom
# SG ... Pm-3m (221)
data_YBi3Pd
_cell_length_a 5.8204
_cell_length_b 5.8204
_cell_length_c 5.8204
_cell_angle_alpha 90.00
_cell_angle_beta 90.00
_cell_angle_gamma 90.00
_space_group_name_H-M_alt 'P 1'
_space_group_IT_number 1
loop_
_space_group_symop_operation_xyz
'x,y,z'
loop_
_atom_site_label
_atom_site_type_symbol
_atom_site_fract_x
_atom_site_fract_y
_atom_site_fract_z
_atom_site_occupancy
Bi1 Bi 0.0000 0.0000 0.5000 1
Bi2 Bi 0.0000 0.5000 0.0000 1
Bi3 Bi 0.5000 0.0000 0.0000 1
Y1 Y 0.0000 0.0000 0.0000 1
Pd1 Pd 0.5000 0.5000 0.5000 1